# Al2VTcP

Al2VTcP after structural relaxation (GGA-PBE, Alexandria).

Cell: 4.6923 4.3583 4.6923 Å, 90.00 90.00 90.00°
Site moments in Bohr magnetons follow the coordinates.
Atoms (fractional coordinates):
Al1 0.0000 0.0000 0.5000  -0.01
Al2 0.5000 0.0000 0.0000  0.00
P1 0.0000 0.5000 0.0000  0.00
Tc1 0.5000 0.5000 0.5000  3.01
V1 0.0000 0.0000 0.0000  0.56

Properties
Its formation energy from the elements is 0.936 eV/atom. Its magnetic moment is 0.79 μB per atom. The value obtained for the calculated density is 4.0 g cm⁻³.